5
Lattice="4.331 0.000 0.000 0.000 4.331 0.000 0.000 0.000 4.331" Properties=species:S:1:pos:R:3 comment="RbPbO3 | Alexandria | PBE | optimized geometry" e_tot_ev_per_atom=-4.6627 mass_density_g_cm3=6.96 raw_formation_energy_kj_per_mol_atoms=-72.6 space_group="Pm-3m (221)" pbc="T T T"
Rb 0.000 0.000 0.000
Pb 2.166 2.166 2.166
O 0.000 2.166 2.166
O 2.166 0.000 2.166
O 2.166 2.166 0.000